Record 1
Computed, not measured: Hf3MnBi after structural relaxation at the PBE level of DFT.

space-group type	Pm-3m
energy above the most stable polymorph in this dataset	1.432	eV per atom
mass density	8.78	g cm⁻³
energy of formation from the pure elements	1537	meV per atom

Cell: 5.327 5.327 5.327 Å, 90.00 90.00 90.00°
Sites, in units of the cell vectors:
Hf 0.000 0.000 0.500
Hf 0.000 0.500 0.000
Hf 0.500 0.000 0.000
Mn 0.500 0.500 0.500
Bi 0.000 0.000 0.000


Record 2
Computed, not measured: HfMnBi after structural relaxation at the PBE level of DFT.

space-group type	I4/mmm
mass density	11.02	g cm⁻³
energy of formation from the pure elements	15	meV per atom

Cell: 3.075 3.075 28.216 Å, 90.00 90.00 90.00°
Sites, in units of the cell vectors:
Hf 0.000 0.000 0.166
Hf 0.000 0.000 0.834
Hf 0.500 0.500 0.334
Hf 0.500 0.500 0.666
Mn 0.000 0.000 0.271
Mn 0.000 0.000 0.729
Mn 0.500 0.500 0.229
Mn 0.500 0.500 0.771
Bi 0.000 0.000 0.423
Bi 0.000 0.000 0.577
Bi 0.500 0.500 0.077
Bi 0.500 0.500 0.923


Record 3
Computed, not measured: Hf3MnBi after structural relaxation at the PBE level of DFT.

space-group type	Cmmm
energy above the most stable polymorph in this dataset	0.000	eV per atom
mass density	12.07	g cm⁻³
energy of formation from the pure elements	105	meV per atom

Cell: 7.537 7.537 4.729 Å, 90.00 90.00 125.06°
Sites, in units of the cell vectors:
Hf 0.000 0.500 0.500
Hf 0.123 0.877 0.000
Hf 0.291 0.291 0.500
Hf 0.500 0.000 0.500
Hf 0.709 0.709 0.500
Hf 0.877 0.123 0.000
Mn 0.103 0.897 0.500
Mn 0.897 0.103 0.500
Bi 0.359 0.641 0.000
Bi 0.641 0.359 0.000


Record 4
Computed, not measured: Hf6MnBi3 after structural relaxation at the PBE level of DFT.

space-group type	P2_1/c
energy above the most stable polymorph in this dataset	0.069	eV per atom
mass density	12.43	g cm⁻³
energy of formation from the pure elements	45	meV per atom

Cell: 5.535 7.918 11.658 Å, 90.00 113.61 90.00°
Sites, in units of the cell vectors:
Hf 0.008 0.196 0.073
Hf 0.008 0.304 0.573
Hf 0.321 0.146 0.424
Hf 0.321 0.354 0.924
Hf 0.328 0.512 0.218
Hf 0.328 0.988 0.718
Hf 0.672 0.012 0.282
Hf 0.672 0.488 0.782
Hf 0.679 0.646 0.076
Hf 0.679 0.854 0.576
Hf 0.992 0.696 0.427
Hf 0.992 0.804 0.927
Mn 0.000 0.000 0.500
Mn 0.000 0.500 0.000
Bi 0.146 0.634 0.730
Bi 0.146 0.866 0.230
Bi 0.500 0.000 0.000
Bi 0.500 0.500 0.500
Bi 0.854 0.134 0.770
Bi 0.854 0.366 0.270


Record 5
Computed, not measured: Hf3MnBi after structural relaxation at the PBE level of DFT.

space-group type	Pm-3m
energy above the most stable polymorph in this dataset	0.100	eV per atom
mass density	11.71	g cm⁻³
energy of formation from the pure elements	205	meV per atom

Cell: 4.840 4.840 4.840 Å, 90.00 90.00 90.00°
Sites, in units of the cell vectors:
Hf 0.000 0.000 0.500
Hf 0.000 0.500 0.000
Hf 0.500 0.000 0.000
Mn 0.000 0.000 0.000
Bi 0.500 0.500 0.500


Record 6
Computed, not measured: Hf8Mn2Bi after structural relaxation at the PBE level of DFT.

space-group type	C2/m
mass density	12.60	g cm⁻³
energy of formation from the pure elements	-27	meV per atom

Cell: 7.722 7.722 5.571 Å, 93.97 93.97 44.00°
Sites, in units of the cell vectors:
Hf 0.097 0.097 0.104
Hf 0.133 0.639 0.395
Hf 0.282 0.282 0.885
Hf 0.361 0.867 0.605
Hf 0.639 0.133 0.395
Hf 0.718 0.718 0.115
Hf 0.867 0.361 0.605
Hf 0.903 0.903 0.896
Mn 0.237 0.237 0.384
Mn 0.763 0.763 0.616
Bi 0.500 0.500 0.000